Model a:
This record from Alexandria via LeMat-Bulk describes crystalline Tl2AsOsC at its relaxed geometry. The functional is PBE-GGA.

Crystal system: tetragonal

Lattice parameters (Å, degrees): 5.1550 3.9094 5.1550 90.00 90.00 90.00
Closest atoms and distances in Å follow each position.
Sites, in units of the cell vectors:
Tl 0.0000 0.0000 0.5000  2 C 2.58
Os 0.0000 0.5000 0.0000  2 C 1.95
Tl 0.5000 0.0000 0.0000  2 C 2.58
As 0.5000 0.5000 0.5000  8 Tl 3.23
C 0.0000 0.0000 0.0000  2 Os 1.95


Model b:
This record from Alexandria via LeMat-Bulk describes crystalline Tl2AsOsC at its relaxed geometry. The functional is PBE-GGA.

Crystal system: tetragonal

Lattice parameters (Å, degrees): 5.7836 4.5851 5.7836 90.00 90.00 90.00
Closest atoms and distances in Å follow each position.
Sites, in units of the cell vectors:
C 0.5000 0.5000 0.5000  8 Tl 3.69, 4 Os 4.09
As 0.0000 0.0000 0.0000  2 Os 2.29
Tl 0.5000 0.0000 0.0000  2 As 2.89
Tl 0.0000 0.0000 0.5000  2 As 2.89
Os 0.0000 0.5000 0.0000  2 As 2.29


Most stable: model a (next structure +102.0 kJ/mol of atoms)